Entry 1:
Material: NaPrSO
Method: DFT, GGA-PBE
State: optimized geometry Values from VASP.

The total energy comes out at -5.9246 eV per atom. As for the space group: R3m, No. 160. The calculation puts the formation energy without anion corrections at -8.51 eV per formula unit.

Quantum ESPRESSO input file:
```
&SYSTEM
  ibrav = 0, nat = 4, ntyp = 4
/
ATOMIC_SPECIES
Pr 140.91 Pr.upf
S 32.06 S.upf
O 16.00 O.upf
Na 22.99 Na.upf
ATOMIC_POSITIONS angstrom
Pr 1.063 -2.003 -1.260
S 2.572 -4.205 -2.357
O 0.139 -4.643 -4.895
Na 3.852 -6.306 -3.537
CELL_PARAMETERS angstrom
-1.063 -3.486 -1.362
0.882 -1.013 -3.651
5.386 -3.939 0.322
```

Entry 2:
Material: Np2FeRh9
Method: DFT, GGA-PBE
State: optimized geometry Values from VASP.

As for the formation energy: -0.266 eV per atom. The total energy comes out at -8.6417 eV per atom. As for the space group: P4/mmm, No. 123.

Quantum ESPRESSO input file:
```
&SYSTEM
  ibrav = 0, nat = 12, ntyp = 3
/
ATOMIC_SPECIES
Rh 102.91 Rh.upf
Fe 55.84 Fe.upf
Np 237.00 Np.upf
ATOMIC_POSITIONS angstrom
Rh -2.714 0.291 0.618
Rh -2.507 -6.540 4.741
Rh -2.613 -3.031 2.623
Rh -0.758 -7.725 6.645
Rh -0.864 -4.222 4.531
Rh -1.437 -9.143 4.330
Rh -0.970 -0.719 2.416
Rh -1.649 -2.137 0.101
Rh -1.543 -5.640 2.216
Fe 0.000 0.000 0.000
Np 0.101 -3.329 2.009
Np 0.206 -6.824 4.119
CELL_PARAMETERS angstrom
-2.034 1.709 2.933
-3.393 -1.127 -1.697
0.307 -10.153 6.129
```

Entry 3:
Material: TmMgPd6
Method: DFT, GGA-PBE
State: optimized geometry Values from VASP.

As for the formation energy: -0.684 eV per atom. The total energy comes out at -5.3369 eV per atom. As for the space group: P4/mmm, No. 123.

Quantum ESPRESSO input file:
```
&SYSTEM
  ibrav = 0, nat = 8, ntyp = 3
/
ATOMIC_SPECIES
Pd 106.42 Pd.upf
Tm 168.93 Tm.upf
Mg 24.30 Mg.upf
ATOMIC_POSITIONS angstrom
Pd -1.342 -2.523 0.078
Pd -4.388 -0.841 2.087
Pd -4.546 0.930 4.259
Pd -5.841 1.542 1.784
Pd -2.887 -0.089 -0.163
Pd -1.593 -0.701 2.311
Tm 0.000 0.000 0.000
Mg -3.046 1.682 2.009
CELL_PARAMETERS angstrom
-2.636 -1.912 -2.397
-0.048 -3.135 2.553
-6.092 3.365 4.018
```

Entry 4:
Material: BaCa2Fe
Method: DFT, GGA-PBE
State: optimized geometry Values from VASP.

As for the formation energy: 0.586 eV per atom. The total energy comes out at -3.0112 eV per atom. As for the space group: I4/mmm, No. 139.

Quantum ESPRESSO input file:
```
&SYSTEM
  ibrav = 0, nat = 4, ntyp = 3
/
ATOMIC_SPECIES
Ca 40.08 Ca.upf
Fe 55.84 Fe.upf
Ba 137.33 Ba.upf
ATOMIC_POSITIONS angstrom
Ca 0.000 0.000 0.000
Ca 4.362 2.903 0.000
Fe 1.179 2.958 1.810
Ba 3.184 -0.056 1.810
CELL_PARAMETERS angstrom
6.368 -0.111 0.000
2.357 5.916 0.000
-4.362 -2.903 3.620
```

Entry 5:
Material: KMnBi2Se4
Method: DFT, GGA-PBE
State: optimized geometry Values from VASP.

The total energy comes out at -4.5032 eV per atom. As for the space group: Cmcm, No. 63. The calculation puts the formation energy without anion corrections at -4.06 eV per formula unit.

Quantum ESPRESSO input file:
```
&SYSTEM
  ibrav = 0, nat = 16, ntyp = 4
/
ATOMIC_SPECIES
Se 78.96 Se.upf
Bi 208.98 Bi.upf
Mn 54.94 Mn.upf
K 39.10 K.upf
ATOMIC_POSITIONS angstrom
Se 0.000 0.000 0.000
Se -1.585 -5.937 4.538
Se -2.975 -2.235 2.466
Se -2.561 -2.798 -1.583
Se -6.613 -10.825 6.273
Se -3.413 -5.991 0.857
Se -6.198 -11.388 2.224
Se -5.760 -7.632 3.833
Bi -6.212 -13.264 4.656
Bi -2.962 -0.360 0.034
Bi -5.006 -8.747 1.204
Bi -4.167 -4.876 3.485
Mn -2.104 -3.821 0.695
Mn -7.069 -9.802 3.995
K -3.413 -9.579 5.564
K -5.760 -4.045 -0.874
CELL_PARAMETERS angstrom
-3.338 2.135 1.627
-2.665 -3.884 -6.013
-3.170 -11.874 9.075
```

Entry 6:
Material: TlZnCu2
Method: DFT, GGA-PBE
State: optimized geometry Values from VASP.

As for the formation energy: 0.259 eV per atom. The total energy comes out at -2.6996 eV per atom. As for the space group: Cmmm, No. 65.

Quantum ESPRESSO input file:
```
&SYSTEM
  ibrav = 0, nat = 4, ntyp = 3
/
ATOMIC_SPECIES
Zn 65.41 Zn.upf
Cu 63.55 Cu.upf
Tl 204.38 Tl.upf
ATOMIC_POSITIONS angstrom
Zn -0.573 2.414 1.272
Cu 0.000 0.000 0.000
Cu 1.569 2.389 -0.512
Tl 2.443 0.433 1.272
CELL_PARAMETERS angstrom
4.585 0.408 -0.512
-1.447 4.370 -0.512
0.301 0.458 3.057
```

Entry 7:
Material: Sc2Cu2Pt3
Method: DFT, GGA-PBE
State: optimized geometry Values from VASP.

As for the formation energy: -0.782 eV per atom. The total energy comes out at -6.3506 eV per atom. As for the space group: P-1, No. 2.

Quantum ESPRESSO input file:
```
&SYSTEM
  ibrav = 0, nat = 7, ntyp = 3
/
ATOMIC_SPECIES
Cu 63.55 Cu.upf
Pt 195.08 Pt.upf
Sc 44.96 Sc.upf
ATOMIC_POSITIONS angstrom
Cu 0.391 0.564 2.493
Cu 1.885 2.610 2.994
Pt 2.176 0.225 4.356
Pt 0.099 2.948 1.131
Pt 0.000 0.000 0.000
Sc 2.340 1.571 0.381
Sc -0.064 1.602 5.106
CELL_PARAMETERS angstrom
4.502 0.105 -0.769
-2.473 3.780 -0.467
0.247 -0.712 6.723
```

Entry 8:
Material: LaTbPr4Se8
Method: DFT, GGA-PBE
State: optimized geometry Values from VASP.

The total energy comes out at -5.7872 eV per atom. As for the space group: R3m, No. 160. The calculation puts the formation energy without anion corrections at -24.47 eV per formula unit.

Quantum ESPRESSO input file:
```
&SYSTEM
  ibrav = 0, nat = 14, ntyp = 4
/
ATOMIC_SPECIES
Pr 140.91 Pr.upf
Se 78.96 Se.upf
Tb 158.93 Tb.upf
La 138.91 La.upf
ATOMIC_POSITIONS angstrom
Pr -11.981 -8.104 1.356
Pr -8.102 -6.013 -1.212
Pr -15.351 -9.432 -1.077
Pr -13.099 -5.876 -2.225
Se -8.760 -1.744 1.649
Se -11.224 -5.636 2.906
Se -14.494 -6.869 0.250
Se -6.984 -5.873 1.415
Se -10.646 -7.317 -1.229
Se -12.447 -3.198 -1.014
Se -4.958 -2.173 0.196
Se -8.199 -3.452 -2.477
Tb -11.293 -9.809 -2.577
La -11.333 -3.046 1.642
CELL_PARAMETERS angstrom
-6.768 -2.669 -4.886
-4.523 -7.143 2.307
-8.138 0.748 3.005
```

Q: Which formula does entry 1 have?
A: NaPrSO

Q: What is the formula in the fourth record?
A: BaCa2Fe